First-principles (PBE with a Hubbard U) data for a relaxed Mn3Se4O12 crystal, as listed in the Alexandria database.

The structure in CIF format:
```
data_Mn3Se4O12
_chemical_formula_sum 'Mn6 Se8 O24'
_cell_length_a 8.368
_cell_length_b 8.494
_cell_length_c 10.244
_cell_angle_alpha 73.83
_cell_angle_beta 70.14
_cell_angle_gamma 62.42
_space_group_name_H-M_alt 'P -1'
_space_group_IT_number 2
_space_group_name_Hall '-P 1'
loop_
_atom_site_label
_atom_site_type_symbol
_atom_site_fract_x
_atom_site_fract_y
_atom_site_fract_z
_atom_site_occupancy
Mn1 Mn 0.000 0.000 0.000 1
Mn2 Mn 0.000 0.000 0.500 1
Mn3 Mn 0.049 0.685 0.277 1
Mn4 Mn 0.056 0.329 0.179 1
Se1 Se 0.259 0.550 0.532 1
Se2 Se 0.273 0.585 0.946 1
Se3 Se 0.305 0.029 0.662 1
Se4 Se 0.322 0.940 0.174 1
O1 O 0.054 0.535 0.636 1
O2 O 0.098 0.796 0.904 1
O3 O 0.105 0.148 0.585 1
O4 O 0.138 0.059 0.308 1
O5 O 0.151 0.139 0.816 1
O6 O 0.179 0.524 0.125 1
O7 O 0.203 0.863 0.108 1
O8 O 0.209 0.772 0.537 1
O9 O 0.210 0.476 0.871 1
O10 O 0.258 0.555 0.362 1
O11 O 0.317 0.133 0.069 1
O12 O 0.434 0.145 0.590 1
```

## Properties
The calculation puts the spin magnetization at 26.00 μB/cell. For the electronic total energy, the calculation gives -6.134 eV/atom.